Here is a geometry-optimized Dy2MoPbO8 structure from Alexandria. Energies are from GGA+U.

Results
Calculated volume in Å³/f.u.: 170.53
E in eV for the cell shown: -86.05

Cell lengths 4.994, 4.992, 6.845 Å; angles 89.99, 89.99, 92.40 degrees
Atoms (fractional coordinates):
O 0.281 0.280 0.000
O 0.183 0.817 0.786
O 0.719 0.720 0.000
O 0.702 0.703 0.500
O 0.298 0.297 0.500
O 0.818 0.183 0.786
O 0.817 0.183 0.214
O 0.182 0.817 0.214
Mo 0.000 0.000 0.000
Dy 0.500 0.500 0.242
Dy 0.500 0.500 0.758
Pb 0.000 0.000 0.500